(1)
VASP calculation (PBE-GGA) on a relaxed Er6Cd2Ru crystal.

## Properties
* offset from the most stable computed form: 0.000 eV per atom
* symmetry: P-62m, No. 189

Geometry as POSCAR:
```
Er6Cd2Ru
1.0
8.530 0.000 0.000
-4.265 7.387 0.000
0.000 0.000 3.785
Er Cd Ru
6 2 1
Direct
0.000 0.243 0.000 Er
0.000 0.610 0.500 Er
0.243 0.000 0.000 Er
0.390 0.390 0.500 Er
0.610 0.000 0.500 Er
0.757 0.757 0.000 Er
0.333 0.667 0.000 Cd
0.667 0.333 0.000 Cd
0.000 0.000 0.500 Ru
```

---

(2)
VASP calculation (PBE-GGA) on a relaxed Er2Cd2Ru crystal.

## Properties
* E_tot: -4.430 eV/atom
* symmetry: I4/mmm, No. 139

Geometry as POSCAR:
```
Er2Cd2Ru
1.0
3.393 0.000 0.000
0.000 3.393 0.000
0.000 0.000 19.562
Er Cd Ru
4 4 2
Direct
0.000 0.000 0.084 Er
0.000 0.000 0.916 Er
0.500 0.500 0.416 Er
0.500 0.500 0.584 Er
0.000 0.000 0.298 Cd
0.000 0.000 0.702 Cd
0.500 0.500 0.202 Cd
0.500 0.500 0.798 Cd
0.000 0.000 0.500 Ru
0.500 0.500 0.000 Ru
```

---

(3)
VASP calculation (PBE-GGA) on a relaxed Er6Cd5Ru crystal.

## Properties
* E_tot: -3.793 eV/atom
* symmetry: Cmmm, No. 65

Geometry as POSCAR:
```
Er6Cd5Ru
1.0
2.567 -7.688 0.000
2.567 7.688 0.000
0.000 0.000 7.405
Er Cd Ru
6 5 1
Direct
0.000 0.000 0.228 Er
0.000 0.000 0.772 Er
0.346 0.654 0.237 Er
0.346 0.654 0.763 Er
0.654 0.346 0.237 Er
0.654 0.346 0.763 Er
0.171 0.829 0.500 Cd
0.177 0.823 0.000 Cd
0.500 0.500 0.500 Cd
0.823 0.177 0.000 Cd
0.829 0.171 0.500 Cd
0.500 0.500 0.000 Ru
```

---

(4)
VASP calculation (PBE-GGA) on a relaxed Er4Cd5Ru2 crystal.

## Properties
* E_tot: -4.080 eV/atom
* symmetry: P2/m, No. 10

Geometry as POSCAR:
```
Er4Cd5Ru2
1.0
7.715 0.000 0.000
0.000 3.482 0.000
-0.763 0.000 9.641
Er Cd Ru
4 5 2
Direct
0.167 0.000 0.356 Er
0.211 0.000 0.949 Er
0.789 0.000 0.051 Er
0.833 0.000 0.644 Er
0.191 0.500 0.657 Cd
0.450 0.500 0.178 Cd
0.500 0.500 0.500 Cd
0.550 0.500 0.822 Cd
0.809 0.500 0.343 Cd
0.074 0.500 0.146 Ru
0.926 0.500 0.854 Ru
```